Record 1
BeIrOs2: relaxed, GGA-PBEsol.

Lattice parameters (Å, degrees): 2.751 2.751 6.542 90.00 90.00 90.00
Space group P4mm (No. 99)
Symmetry-distinct sites (fractional):
Be1 0.000 0.000 0.000 (multiplicity 1)
Ir1 0.500 0.500 0.207 (multiplicity 1)
Os1 0.000 0.000 0.499 (multiplicity 1)
Os2 0.500 0.500 0.774 (multiplicity 1)

- M_tot (μB per formula unit) = 0.0
- E_tot (eV per atom) = -9.70
- calculated formation energy (meV per atom) = -140
- Fermi-level density of states (states/eV/f.u.) = 2.6


Record 2
Be2IrOs: relaxed, GGA-PBEsol.

Lattice parameters (Å, degrees): 3.947 3.947 2.758 90.00 90.00 90.00
Space group P4/mmm (No. 123)
Symmetry-distinct sites (fractional):
Be1 0.000 0.500 0.000 (multiplicity 2)
Ir1 0.000 0.000 0.500 (multiplicity 1)
Os1 0.500 0.500 0.500 (multiplicity 1)

- M_tot (μB per formula unit) = 0.0
- E_tot (eV per atom) = -7.79
- calculated formation energy (meV per atom) = -280
- distance to the lowest polymorph of the same formula (kcal/mol of atoms) = 0.00
- Fermi-level density of states (states/eV/f.u.) = 2.5


Record 3
Be2IrOs: relaxed, GGA-PBEsol.

Lattice parameters (Å, degrees): 2.795 3.685 4.499 90.00 90.00 90.00
Space group Pmmm (No. 47)
Symmetry-distinct sites (fractional):
Be1 0.000 0.000 0.000 (multiplicity 1)
Be2 0.500 0.000 0.500 (multiplicity 1)
Ir1 0.000 0.500 0.500 (multiplicity 1)
Os1 0.500 0.500 0.000 (multiplicity 1)

- M_tot (μB per formula unit) = 0.0
- E_tot (eV per atom) = -7.56
- calculated formation energy (meV per atom) = -52
- distance to the lowest polymorph of the same formula (kcal/mol of atoms) = 5.25
- Fermi-level density of states (states/eV/f.u.) = 2.1


Record 4
BeIrOs: relaxed, GGA-PBEsol.

Lattice parameters (Å, degrees): 5.631 5.631 5.631 90.00 90.00 90.00
Space group F-43m (No. 216)
Symmetry-distinct sites (fractional):
Be1 0.000 0.000 0.000 (multiplicity 4)
Ir1 0.000 0.000 0.500 (multiplicity 4)
Os1 0.250 0.250 0.250 (multiplicity 4)

- M_tot (μB per formula unit) = 0.0
- E_tot (eV per atom) = -8.21
- calculated formation energy (meV per atom) = 472
- Fermi-level density of states (states/eV/f.u.) = 2.1


Record 5
BePIr2: relaxed, GGA-PBEsol.

Lattice parameters (Å, degrees): 5.937 5.937 5.937 90.00 90.00 90.00
Space group F-43m (No. 216)
Symmetry-distinct sites (fractional):
Be1 0.000 0.000 0.000 (multiplicity 4)
P1 0.250 0.250 0.250 (multiplicity 4)
Ir1 0.000 0.000 0.500 (multiplicity 4)
Ir2 0.250 0.250 0.750 (multiplicity 4)

- M_tot (μB per formula unit) = 0.0
- E_tot (eV per atom) = -7.01
- calculated formation energy (meV per atom) = 354
- distance to the lowest polymorph of the same formula (kcal/mol of atoms) = 15.34
- Fermi-level density of states (states/eV/f.u.) = 3.5


Record 6
BeP3Ir: relaxed, GGA-PBEsol.

Lattice parameters (Å, degrees): 4.582 4.582 4.582 90.00 90.00 90.00
Space group Pm-3m (No. 221)
Symmetry-distinct sites (fractional):
Be1 0.000 0.000 0.000 (multiplicity 1)
P1 0.000 0.500 0.500 (multiplicity 3)
Ir1 0.500 0.500 0.500 (multiplicity 1)

- M_tot (μB per formula unit) = 0.0
- E_tot (eV per atom) = -5.10
- calculated formation energy (meV per atom) = 1140
- Fermi-level density of states (states/eV/f.u.) = 5.0


Record 7
BeP2Ir: relaxed, GGA-PBEsol.

Lattice parameters (Å, degrees): 3.381 4.073 7.132 90.00 90.00 90.00
Space group Imm2 (No. 44)
Symmetry-distinct sites (fractional):
Be1 0.000 0.000 0.000 (multiplicity 2)
P1 0.000 0.000 0.541 (multiplicity 2)
P2 0.000 0.500 0.277 (multiplicity 2)
Ir1 0.000 0.500 0.766 (multiplicity 2)

- M_tot (μB per formula unit) = 0.0
- E_tot (eV per atom) = -6.19
- calculated formation energy (meV per atom) = 157
- Fermi-level density of states (states/eV/f.u.) = 1.5


Record 8
BeP2Ir: relaxed, GGA-PBEsol.

Lattice parameters (Å, degrees): 7.390 3.599 4.939 90.00 110.60 90.00
Space group Cm (No. 8)
Symmetry-distinct sites (fractional):
Be1 0.000 0.000 0.000 (multiplicity 2)
P1 0.297 0.000 0.298 (multiplicity 2)
P2 0.331 0.000 0.753 (multiplicity 2)
Ir1 0.194 0.500 0.981 (multiplicity 2)

- M_tot (μB per formula unit) = 0.0
- E_tot (eV per atom) = -6.49
- calculated formation energy (meV per atom) = -136
- Fermi-level density of states (states/eV/f.u.) = 1.8


Record 9
BeP2Ir: relaxed, GGA-PBEsol.

Lattice parameters (Å, degrees): 3.158 3.515 9.994 90.00 90.00 90.00
Space group Amm2 (No. 38)
Symmetry-distinct sites (fractional):
Be1 0.000 0.000 0.000 (multiplicity 2)
P1 0.000 0.000 0.377 (multiplicity 2)
P2 0.500 0.000 0.218 (multiplicity 2)
Ir1 0.500 0.000 0.573 (multiplicity 2)

- M_tot (μB per formula unit) = 0.0
- E_tot (eV per atom) = -6.55
- calculated formation energy (meV per atom) = -202
- Fermi-level density of states (states/eV/f.u.) = 1.4


Record 10
BePIr2: relaxed, GGA-PBEsol.

Lattice parameters (Å, degrees): 2.817 3.492 10.437 90.00 90.00 90.00
Space group Imm2 (No. 44)
Symmetry-distinct sites (fractional):
Be1 0.000 0.000 0.000 (multiplicity 2)
P1 0.000 0.500 0.255 (multiplicity 2)
Ir1 0.000 0.000 0.578 (multiplicity 2)
Ir2 0.000 0.500 0.835 (multiplicity 2)

- M_tot (μB per formula unit) = 0.0
- E_tot (eV per atom) = -7.67
- calculated formation energy (meV per atom) = -311
- distance to the lowest polymorph of the same formula (kcal/mol of atoms) = 0.00
- Fermi-level density of states (states/eV/f.u.) = 1.6


Record 11
BeP2Ir: relaxed, GGA-PBEsol.

Lattice parameters (Å, degrees): 5.819 5.819 5.819 90.00 90.00 90.00
Space group F-43m (No. 216)
Symmetry-distinct sites (fractional):
Be1 0.000 0.000 0.000 (multiplicity 4)
P1 0.000 0.000 0.500 (multiplicity 4)
P2 0.250 0.250 0.250 (multiplicity 4)
Ir1 0.250 0.250 0.750 (multiplicity 4)

- M_tot (μB per formula unit) = 0.0
- E_tot (eV per atom) = -6.03
- calculated formation energy (meV per atom) = 322
- Fermi-level density of states (states/eV/f.u.) = 2.2


Record 12
BePIrS2: relaxed, GGA-PBEsol.

Lattice parameters (Å, degrees): 4.811 4.811 4.300 90.00 90.00 90.00
Space group P4/mmm (No. 123)
Symmetry-distinct sites (fractional):
Be1 0.000 0.000 0.000 (multiplicity 1)
P1 0.500 0.500 0.000 (multiplicity 1)
Ir1 0.500 0.500 0.500 (multiplicity 1)
S1 0.000 0.500 0.500 (multiplicity 2)

- ΔE_f (raw) (eV/atom) = 0.956
- M_tot (μB per formula unit) = 0.0
- E_tot (eV per atom) = -4.72
- Fermi-level density of states (states/eV/f.u.) = 5.2


Record 13
Be2TlIrPb: relaxed, GGA-PBEsol.

Lattice parameters (Å, degrees): 4.419 4.419 5.159 90.00 90.00 90.00
Space group P4/mmm (No. 123)
Symmetry-distinct sites (fractional):
Be1 0.000 0.500 0.000 (multiplicity 2)
Tl1 0.000 0.000 0.500 (multiplicity 1)
Ir1 0.000 0.000 0.000 (multiplicity 1)
Pb1 0.500 0.500 0.500 (multiplicity 1)

- M_tot (μB per formula unit) = 0.0
- E_tot (eV per atom) = -4.48
- calculated formation energy (meV per atom) = 413
- Fermi-level density of states (states/eV/f.u.) = 1.7


Record 14
BeIr2Pd2: relaxed, GGA-PBEsol.

Lattice parameters (Å, degrees): 3.484 3.484 12.600 90.00 90.00 90.00
Space group I4/mmm (No. 139)
Symmetry-distinct sites (fractional):
Be1 0.000 0.000 0.000 (multiplicity 2)
Ir1 0.000 0.000 0.407 (multiplicity 4)
Pd1 0.000 0.500 0.250 (multiplicity 4)

- M_tot (μB per formula unit) = 0.0
- E_tot (eV per atom) = -6.47
- calculated formation energy (meV per atom) = 642
- Fermi-level density of states (states/eV/f.u.) = 6.5


Record 15
Be2IrPd: relaxed, GGA-PBEsol.

Lattice parameters (Å, degrees): 5.565 5.565 5.565 90.00 90.00 90.00
Space group Fm-3m (No. 225)
Symmetry-distinct sites (fractional):
Be1 0.250 0.250 0.250 (multiplicity 8)
Ir1 0.000 0.000 0.000 (multiplicity 4)
Pd1 0.000 0.000 0.500 (multiplicity 4)

- M_tot (μB per formula unit) = 0.0
- E_tot (eV per atom) = -6.56
- calculated formation energy (meV per atom) = -616
- Fermi-level density of states (states/eV/f.u.) = 1.1